Here is a geometry-optimized YAs3Ru structure from Alexandria via LeMat-Bulk. Energies are from PBE.

- Energy: -4.749 eV/atom

Cell: 5.3157 5.3157 5.3157 Å, 90.00 90.00 90.00°
Site moments in Bohr magnetons follow the coordinates.
Atoms (fractional coordinates):
As: 0.0000 0.0000 0.5000  -0.09
As: 0.0000 0.5000 0.0000  -0.06
Y: 0.0000 0.0000 0.0000  0.02
As: 0.5000 0.0000 0.0000  -0.06
Ru: 0.5000 0.5000 0.5000  2.56